# 1
This record from Alexandria describes a relaxed TaB3Os crystal. The functional is PBE-GGA.

Geometry as POSCAR:
```
TaB3Os
1.0
-1.463 -2.267 2.934
0.099 -3.177 -2.406
3.706 -0.810 1.223
Os Ta B
1 1 3
Direct
0.000 0.000 0.000 Os
0.500 0.500 0.500 Ta
0.000 0.000 0.500 B
0.000 0.500 0.000 B
0.500 0.000 0.000 B
```

Output
ΔE_f ... 1.132 eV/atom
Magnetization ... 0.2 μB/f.u.
Relative energy among the computed polymorphs ... 0.0 meV per atom
Space-group type ... No. 221

# 2
This record from Alexandria describes a relaxed TaBOs crystal. The functional is PBE-GGA.

Geometry as POSCAR:
```
TaBOs
1.0
4.067 0.000 0.000
0.000 5.461 0.000
0.000 0.000 7.064
Os Ta B
4 4 4
Direct
0.000 0.500 0.917 Os
0.500 0.500 0.417 Os
0.500 0.000 0.083 Os
0.000 0.000 0.583 Os
0.000 0.750 0.250 Ta
0.000 0.250 0.250 Ta
0.500 0.750 0.750 Ta
0.500 0.250 0.750 Ta
0.000 0.000 0.917 B
0.000 0.500 0.583 B
0.500 0.000 0.417 B
0.500 0.500 0.083 B
```

Output
ΔE_f ... 0.081 eV/atom
Magnetization ... 0.0 μB/f.u.
Relative energy among the computed polymorphs ... 628.6 meV per atom
Space-group type ... No. 63

# 3
This record from Alexandria describes a relaxed TaBOs crystal. The functional is PBE-GGA.

Geometry as POSCAR:
```
TaBOs
1.0
-0.171 1.691 -2.520
-3.574 -2.583 -1.491
-2.356 3.137 4.098
Os B Ta
2 2 2
Direct
0.585 0.296 0.170 Os
0.415 0.704 0.830 Os
0.768 0.631 0.536 B
0.232 0.369 0.464 B
0.142 0.834 0.284 Ta
0.858 0.166 0.716 Ta
```

Output
ΔE_f ... -0.534 eV/atom
Magnetization ... 0.0 μB/f.u.
Relative energy among the computed polymorphs ... 13.0 meV per atom
Space-group type ... No. 12

# 4
This record from Alexandria describes a relaxed TaBOs2 crystal. The functional is PBE-GGA.

Geometry as POSCAR:
```
TaBOs2
1.0
-1.792 -3.677 5.417
-4.823 -3.057 -3.670
-1.715 -5.100 0.224
Ta Os B
2 4 2
Direct
0.000 0.000 0.000 Ta
0.750 0.250 0.500 Ta
0.375 0.469 0.750 Os
0.219 0.625 0.250 Os
0.531 0.125 0.250 Os
0.875 0.781 0.750 Os
0.250 0.750 0.500 B
0.500 0.500 0.000 B
```

Output
ΔE_f ... 0.039 eV/atom
Magnetization ... 0.0 μB/f.u.
Space-group type ... No. 122